SmCo2GeB after structural relaxation. Source: OQMD via LeMat-Bulk, functional PBE.

It has space group I4mm (No. 107), with a = 3.744 Å, b = 3.744 Å, c = 10.204 Å, α = 90.00°, β = 90.00° and γ = 90.00°. The inequivalent atoms are Sm at (0.000, 0.000, 0.000), Co at (0.000, 0.500, 0.277), Ge at (0.000, 0.000, 0.641) and B at (0.000, 0.000, 0.356).

The spin magnetization is 0.00 μB/f.u. Its total energy is -0.4809 Ry per atom.